The following is a GGA+U calculation of a geometry-optimized TbMoAs2O8 structure, from the Alexandria database.

The calculation puts the raw total energy at -6.783 eV/atom. For the calculated volume, the calculation gives 140.75 Å³/f.u. Its density of states at the Fermi level is 0.199 states/eV per atom. The total moment is 0.25 μB/atom.

The space group is I-4 (No. 82) and the conventional cell measures 5.002, 5.002 and 11.252 Å, with angles of 90.00, 90.00 and 90.00 degrees. Symmetry generates all atoms from Tb at (0.000, 0.000, 0.000), Mo at (0.000, 0.500, 0.750), As at (0.000, 0.000, 0.500), As at (0.000, 0.500, 0.250), O at (0.157, 0.249, 0.582) and O at (0.164, 0.759, 0.173).